4
Lattice="0.000 2.930 2.930 2.930 0.000 2.930 2.930 2.930 0.000" Properties=species:S:1:pos:R:3 comment="AlCo2Ir, relaxed, DFT PBE" magmom_total_mub_per_cell=3.3 e_form_kj_per_mol_fu=-115 e_tot_ev_per_atom=-7.001 mass_density_g_cm3=11.129 pbc="T T T"
Al 0.000 0.000 0.000
Co 2.930 2.930 2.930
Co 4.395 4.395 4.395
Ir 1.465 1.465 1.465